# 1
# SmHo2Th2, relaxed, DFT PBE-GGA
# polymorph energy (0 for the lowest one): 0 meV/atom
# E: -0.421 Ry per atom
# formation energy from the elements: 0.0163 eV/atom
# magnetization: 0.00 μB per cell
# crystal system: trigonal
data_SmHo2Th2
_chemical_formula_sum 'Sm3 Ho6 Th6'
_cell_length_a 3.5763
_cell_length_b 3.5763
_cell_length_c 43.4631
_cell_angle_alpha 90.00
_cell_angle_beta 90.00
_cell_angle_gamma 120.00
_symmetry_space_group_name_H-M 'R -3 m'
_symmetry_Int_Tables_number 166
_symmetry_space_group_name_Hall '-R 3 2"'
loop_
_atom_site_label
_atom_site_type_symbol
_atom_site_fract_x
_atom_site_fract_y
_atom_site_fract_z
_atom_site_occupancy
Sm1 Sm 0.0000 0.0000 0.0000 1
Ho1 Ho 0.0000 0.0000 0.4010 1
Th1 Th 0.0000 0.0000 0.1992 1


# 2
# ScAgPO2, relaxed, DFT PBE-GGA
# polymorph energy (0 for the lowest one): 0 meV/atom
# E: -0.420 Ry per atom
# magnetization: 1.57 μB per cell
# crystal system: tetragonal
# E_form (uncorrected): -0.82 eV per atom
data_ScAgPO2
_chemical_formula_sum 'Sc1 Ag1 P1 O2'
_cell_length_a 3.950
_cell_length_b 3.950
_cell_length_c 5.773
_cell_angle_alpha 90.00
_cell_angle_beta 90.00
_cell_angle_gamma 90.00
_symmetry_space_group_name_H-M 'P 4/m m m'
_symmetry_Int_Tables_number 123
_symmetry_space_group_name_Hall '-P 4 2'
loop_
_atom_site_label
_atom_site_type_symbol
_atom_site_fract_x
_atom_site_fract_y
_atom_site_fract_z
_atom_site_occupancy
Sc1 Sc 0.000 0.000 0.000 1
Ag1 Ag 0.500 0.500 0.500 1
P1 P 0.000 0.000 0.500 1
O1 O 0.000 0.500 0.000 1


# 3
# LaTbInGa, relaxed, DFT PBE-GGA
# polymorph energy (0 for the lowest one): 29 meV/atom
# E: -0.319 Ry per atom
# formation energy from the elements: -0.5099 eV/atom
# magnetization: 0.00 μB per cell
# crystal system: cubic
data_LaTbInGa
_chemical_formula_sum 'La4 Tb4 In4 Ga4'
_cell_length_a 7.568
_cell_length_b 7.568
_cell_length_c 7.568
_cell_angle_alpha 90.00
_cell_angle_beta 90.00
_cell_angle_gamma 90.00
_symmetry_space_group_name_H-M 'F -4 3 m'
_symmetry_Int_Tables_number 216
_symmetry_space_group_name_Hall 'F -4 2 3'
loop_
_atom_site_label
_atom_site_type_symbol
_atom_site_fract_x
_atom_site_fract_y
_atom_site_fract_z
_atom_site_occupancy
La1 La 0.000 0.000 0.000 1
Tb1 Tb 0.000 0.000 0.500 1
In1 In 0.250 0.250 0.750 1
Ga1 Ga 0.250 0.250 0.250 1


# 4
# HoErSb2, relaxed, DFT PBE-GGA
# polymorph energy (0 for the lowest one): 0 meV/atom
# E: -0.401 Ry per atom
# magnetization: 0.00 μB per cell
# crystal system: trigonal
# E_form (uncorrected): -1.10 eV per atom
data_HoErSb2
_chemical_formula_sum 'Ho3 Er3 Sb6'
_cell_length_a 4.3602
_cell_length_b 4.3602
_cell_length_c 21.3494
_cell_angle_alpha 90.00
_cell_angle_beta 90.00
_cell_angle_gamma 120.00
_symmetry_space_group_name_H-M 'R -3 m'
_symmetry_Int_Tables_number 166
_symmetry_space_group_name_Hall '-R 3 2"'
loop_
_atom_site_label
_atom_site_type_symbol
_atom_site_fract_x
_atom_site_fract_y
_atom_site_fract_z
_atom_site_occupancy
Ho1 Ho 0.0000 0.0000 0.0000 1
Er1 Er 0.0000 0.0000 0.5000 1
Sb1 Sb 0.0000 0.0000 0.2496 1


# 5
# TaIrSeN2, relaxed, DFT PBE-GGA
# polymorph energy (0 for the lowest one): 0 meV/atom
# E: -0.540 Ry per atom
# magnetization: 1.78 μB per cell
# crystal system: tetragonal
# E_form (uncorrected): 0.83 eV per atom
data_TaIrSeN2
_chemical_formula_sum 'Ta1 Ir1 Se1 N2'
_cell_length_a 3.927
_cell_length_b 3.927
_cell_length_c 5.494
_cell_angle_alpha 90.00
_cell_angle_beta 90.00
_cell_angle_gamma 90.00
_symmetry_space_group_name_H-M 'P 4/m m m'
_symmetry_Int_Tables_number 123
_symmetry_space_group_name_Hall '-P 4 2'
loop_
_atom_site_label
_atom_site_type_symbol
_atom_site_fract_x
_atom_site_fract_y
_atom_site_fract_z
_atom_site_occupancy
Ta1 Ta 0.000 0.000 0.000 1
Ir1 Ir 0.500 0.500 0.500 1
Se1 Se 0.000 0.000 0.500 1
N1 N 0.000 0.500 0.000 1


# 6
# Al2CdHg, relaxed, DFT PBE-GGA
# polymorph energy (0 for the lowest one): 18 meV/atom
# E: -0.150 Ry per atom
# formation energy from the elements: 0.1312 eV/atom
# magnetization: 0.00 μB per cell
# crystal system: orthorhombic
data_Al2CdHg
_chemical_formula_sum 'Al2 Cd1 Hg1'
_cell_length_a 2.905
_cell_length_b 3.930
_cell_length_c 7.264
_cell_angle_alpha 90.00
_cell_angle_beta 90.00
_cell_angle_gamma 90.00
_symmetry_space_group_name_H-M 'P m m 2'
_symmetry_Int_Tables_number 25
_symmetry_space_group_name_Hall 'P 2 -2'
loop_
_atom_site_label
_atom_site_type_symbol
_atom_site_fract_x
_atom_site_fract_y
_atom_site_fract_z
_atom_site_occupancy
Al1 Al 0.000 0.000 0.000 1
Al2 Al 0.500 0.500 0.196 1
Cd1 Cd 0.000 0.000 0.450 1
Hg1 Hg 0.500 0.500 0.743 1


# 7
# CaCeH4, relaxed, DFT PBE-GGA
# E: -0.301 Ry per atom
# magnetization: 1.29 μB per cell
# crystal system: tetragonal
data_CaCeH4
_chemical_formula_sum 'Ca1 Ce1 H4'
_cell_length_a 3.813
_cell_length_b 3.813
_cell_length_c 5.482
_cell_angle_alpha 90.00
_cell_angle_beta 90.00
_cell_angle_gamma 90.00
_symmetry_space_group_name_H-M 'P 4/m m m'
_symmetry_Int_Tables_number 123
_symmetry_space_group_name_Hall '-P 4 2'
loop_
_atom_site_label
_atom_site_type_symbol
_atom_site_fract_x
_atom_site_fract_y
_atom_site_fract_z
_atom_site_occupancy
Ca1 Ca 0.000 0.000 0.000 1
Ce1 Ce 0.500 0.500 0.500 1
H1 H 0.000 0.500 0.251 1


# 8
# Tl6BrF5, relaxed, DFT PBE-GGA
# E: -0.269 Ry per atom
# magnetization: 0.00 μB per cell
# crystal system: monoclinic
# E_form (uncorrected): -1.56 eV per atom
data_Tl6BrF5
_chemical_formula_sum 'Tl12 Br2 F10'
_cell_length_a 7.038
_cell_length_b 12.789
_cell_length_c 7.358
_cell_angle_alpha 90.00
_cell_angle_beta 110.66
_cell_angle_gamma 90.00
_symmetry_space_group_name_H-M 'C 1 2/m 1'
_symmetry_Int_Tables_number 12
_symmetry_space_group_name_Hall '-C 2y'
loop_
_atom_site_label
_atom_site_type_symbol
_atom_site_fract_x
_atom_site_fract_y
_atom_site_fract_z
_atom_site_occupancy
Tl1 Tl 0.211 0.184 0.247 1
Tl2 Tl 0.240 0.000 0.797 1
Br1 Br 0.000 0.500 0.500 1
F1 F 0.000 0.000 0.000 1
F2 F 0.000 0.204 0.500 1
F3 F 0.000 0.362 0.000 1


# 9
# PHPd4, relaxed, DFT PBE-GGA
# polymorph energy (0 for the lowest one): 120 meV/atom
# E: -0.378 Ry per atom
# magnetization: 0.00 μB per cell
# crystal system: tetragonal
data_PHPd4
_chemical_formula_sum 'P4 H4 Pd16'
_cell_length_a 7.244
_cell_length_b 7.244
_cell_length_c 6.499
_cell_angle_alpha 90.00
_cell_angle_beta 90.00
_cell_angle_gamma 90.00
_symmetry_space_group_name_H-M 'I 41 m d'
_symmetry_Int_Tables_number 109
_symmetry_space_group_name_Hall 'I 4bw -2'
loop_
_atom_site_label
_atom_site_type_symbol
_atom_site_fract_x
_atom_site_fract_y
_atom_site_fract_z
_atom_site_occupancy
P1 P 0.000 0.000 0.000 1
H1 H 0.000 0.000 0.546 1
Pd1 Pd 0.000 0.192 0.282 1
Pd2 Pd 0.000 0.202 0.736 1


# 10
# TiMn3Os, relaxed, DFT PBE-GGA
# polymorph energy (0 for the lowest one): 277 meV/atom
# E: -0.580 Ry per atom
# formation energy from the elements: 1.4369 eV/atom
# magnetization: 8.56 μB per cell
# crystal system: cubic
data_TiMn3Os
_chemical_formula_sum 'Ti1 Mn3 Os1'
_cell_length_a 4.295
_cell_length_b 4.295
_cell_length_c 4.295
_cell_angle_alpha 90.00
_cell_angle_beta 90.00
_cell_angle_gamma 90.00
_symmetry_space_group_name_H-M 'P m -3 m'
_symmetry_Int_Tables_number 221
_symmetry_space_group_name_Hall '-P 4 2 3'
loop_
_atom_site_label
_atom_site_type_symbol
_atom_site_fract_x
_atom_site_fract_y
_atom_site_fract_z
_atom_site_occupancy
Ti1 Ti 0.000 0.000 0.000 1
Mn1 Mn 0.000 0.000 0.500 1
Os1 Os 0.500 0.500 0.500 1


# 11
# FePdI2, relaxed, DFT PBE-GGA
# polymorph energy (0 for the lowest one): 0 meV/atom
# E: -0.280 Ry per atom
# magnetization: 0.00 μB per cell
# crystal system: trigonal
# E_form (uncorrected): 0.38 eV per atom
data_FePdI2
_chemical_formula_sum 'Fe3 Pd3 I6'
_cell_length_a 3.8053
_cell_length_b 3.8053
_cell_length_c 23.7979
_cell_angle_alpha 90.00
_cell_angle_beta 90.00
_cell_angle_gamma 120.00
_symmetry_space_group_name_H-M 'R -3 m'
_symmetry_Int_Tables_number 166
_symmetry_space_group_name_Hall '-R 3 2"'
loop_
_atom_site_label
_atom_site_type_symbol
_atom_site_fract_x
_atom_site_fract_y
_atom_site_fract_z
_atom_site_occupancy
Fe1 Fe 0.0000 0.0000 0.0000 1
Pd1 Pd 0.0000 0.0000 0.5000 1
I1 I 0.0000 0.0000 0.3916 1


# 12
# UAg5Se8, relaxed, DFT PBE-GGA
# E: -0.299 Ry per atom
# magnetization: 0.00 μB per cell
# crystal system: tetragonal
# E_form (uncorrected): -0.25 eV per atom
data_UAg5Se8
_chemical_formula_sum 'U2 Ag10 Se16'
_cell_length_a 8.920
_cell_length_b 8.920
_cell_length_c 8.469
_cell_angle_alpha 90.00
_cell_angle_beta 90.00
_cell_angle_gamma 90.00
_symmetry_space_group_name_H-M 'I -4 m 2'
_symmetry_Int_Tables_number 119
_symmetry_space_group_name_Hall 'I -4 -2'
loop_
_atom_site_label
_atom_site_type_symbol
_atom_site_fract_x
_atom_site_fract_y
_atom_site_fract_z
_atom_site_occupancy
U1 U 0.000 0.000 0.000 1
Ag1 Ag 0.000 0.500 0.250 1
Ag2 Ag 0.200 0.300 0.750 1
Se1 Se 0.000 0.134 0.310 1
Se2 Se 0.000 0.312 0.982 1


# 13
# Tl2V2NiTe6, relaxed, DFT PBE-GGA
# E: -0.335 Ry per atom
# magnetization: 7.14 μB per cell
# crystal system: monoclinic
# E_form (uncorrected): -0.23 eV per atom
data_Tl2V2NiTe6
_chemical_formula_sum 'Tl4 V4 Ni2 Te12'
_cell_length_a 6.675
_cell_length_b 11.918
_cell_length_c 8.505
_cell_angle_alpha 90.00
_cell_angle_beta 108.38
_cell_angle_gamma 90.00
_symmetry_space_group_name_H-M 'C 1 2/m 1'
_symmetry_Int_Tables_number 12
_symmetry_space_group_name_Hall '-C 2y'
loop_
_atom_site_label
_atom_site_type_symbol
_atom_site_fract_x
_atom_site_fract_y
_atom_site_fract_z
_atom_site_occupancy
Tl1 Tl 0.000 0.161 0.000 1
V1 V 0.000 0.315 0.500 1
Ni1 Ni 0.000 0.000 0.500 1
Te1 Te 0.239 0.500 0.668 1
Te2 Te 0.245 0.156 0.695 1


# 14
# CeCd2Hg8, relaxed, DFT PBE-GGA
# polymorph energy (0 for the lowest one): 25 meV/atom
# E: -0.072 Ry per atom
# formation energy from the elements: -0.0496 eV/atom
# magnetization: 2.44 μB per cell
# crystal system: monoclinic
data_CeCd2Hg8
_chemical_formula_sum 'Ce2 Cd4 Hg16'
_cell_length_a 9.004
_cell_length_b 15.566
_cell_length_c 4.557
_cell_angle_alpha 90.00
_cell_angle_beta 107.23
_cell_angle_gamma 90.00
_symmetry_space_group_name_H-M 'C 1 2/m 1'
_symmetry_Int_Tables_number 12
_symmetry_space_group_name_Hall '-C 2y'
loop_
_atom_site_label
_atom_site_type_symbol
_atom_site_fract_x
_atom_site_fract_y
_atom_site_fract_z
_atom_site_occupancy
Ce1 Ce 0.000 0.000 0.000 1
Cd1 Cd 0.000 0.331 0.500 1
Hg1 Hg 0.000 0.212 0.000 1
Hg2 Hg 0.123 0.500 0.833 1
Hg3 Hg 0.201 0.116 0.615 1


# 15
# CrOs2Ru, relaxed, DFT PBE-GGA
# polymorph energy (0 for the lowest one): 50 meV/atom
# E: -0.751 Ry per atom
# formation energy from the elements: 0.1162 eV/atom
# magnetization: 0.00 μB per cell
# crystal system: tetragonal
data_CrOs2Ru
_chemical_formula_sum 'Cr1 Os2 Ru1'
_cell_length_a 2.691
_cell_length_b 2.691
_cell_length_c 7.549
_cell_angle_alpha 90.00
_cell_angle_beta 90.00
_cell_angle_gamma 90.00
_symmetry_space_group_name_H-M 'P 4/m m m'
_symmetry_Int_Tables_number 123
_symmetry_space_group_name_Hall '-P 4 2'
loop_
_atom_site_label
_atom_site_type_symbol
_atom_site_fract_x
_atom_site_fract_y
_atom_site_fract_z
_atom_site_occupancy
Cr1 Cr 0.000 0.000 0.000 1
Os1 Os 0.500 0.500 0.241 1
Ru1 Ru 0.000 0.000 0.500 1


# 16
# Tl2PtWSe, relaxed, DFT PBE-GGA
# E: -0.327 Ry per atom
# magnetization: 1.76 μB per cell
# crystal system: tetragonal
# E_form (uncorrected): 0.99 eV per atom
data_Tl2PtWSe
_chemical_formula_sum 'Tl2 Pt1 W1 Se1'
_cell_length_a 5.508
_cell_length_b 5.508
_cell_length_c 4.804
_cell_angle_alpha 90.00
_cell_angle_beta 90.00
_cell_angle_gamma 90.00
_symmetry_space_group_name_H-M 'P 4/m m m'
_symmetry_Int_Tables_number 123
_symmetry_space_group_name_Hall '-P 4 2'
loop_
_atom_site_label
_atom_site_type_symbol
_atom_site_fract_x
_atom_site_fract_y
_atom_site_fract_z
_atom_site_occupancy
Tl1 Tl 0.000 0.500 0.000 1
Pt1 Pt 0.000 0.000 0.500 1
W1 W 0.000 0.000 0.000 1
Se1 Se 0.500 0.500 0.500 1


# 17
# Re2RuPt, relaxed, DFT PBE-GGA
# polymorph energy (0 for the lowest one): 458 meV/atom
# E: -0.715 Ry per atom
# formation energy from the elements: 0.3311 eV/atom
# magnetization: 0.00 μB per cell
# crystal system: tetragonal
data_Re2RuPt
_chemical_formula_sum 'Re2 Ru1 Pt1'
_cell_length_a 3.332
_cell_length_b 3.332
_cell_length_c 5.516
_cell_angle_alpha 90.00
_cell_angle_beta 90.00
_cell_angle_gamma 90.00
_symmetry_space_group_name_H-M 'P 4/m m m'
_symmetry_Int_Tables_number 123
_symmetry_space_group_name_Hall '-P 4 2'
loop_
_atom_site_label
_atom_site_type_symbol
_atom_site_fract_x
_atom_site_fract_y
_atom_site_fract_z
_atom_site_occupancy
Re1 Re 0.000 0.000 0.230 1
Ru1 Ru 0.500 0.500 0.000 1
Pt1 Pt 0.500 0.500 0.500 1


# 18
# PmCu6Ni2, relaxed, DFT PBE-GGA
# E: -0.314 Ry per atom
# formation energy from the elements: 0.2746 eV/atom
# magnetization: 0.00 μB per cell
# crystal system: hexagonal
data_PmCu6Ni2
_chemical_formula_sum 'Pm1 Cu6 Ni2'
_cell_length_a 5.0264
_cell_length_b 5.0264
_cell_length_c 6.6946
_cell_angle_alpha 90.00
_cell_angle_beta 90.00
_cell_angle_gamma 120.00
_symmetry_space_group_name_H-M 'P 6/m m m'
_symmetry_Int_Tables_number 191
_symmetry_space_group_name_Hall '-P 6 2'
loop_
_atom_site_label
_atom_site_type_symbol
_atom_site_fract_x
_atom_site_fract_y
_atom_site_fract_z
_atom_site_occupancy
Pm1 Pm 0.0000 0.0000 0.0000 1
Cu1 Cu 0.0000 0.5000 0.2112 1
Ni1 Ni 0.3333 0.6667 0.5000 1


# 19
# CeLuPdAu, relaxed, DFT PBE-GGA
# E: -0.402 Ry per atom
# formation energy from the elements: -0.7394 eV/atom
# magnetization: 3.07 μB per cell
# crystal system: cubic
data_CeLuPdAu
_chemical_formula_sum 'Ce4 Lu4 Pd4 Au4'
_cell_length_a 7.143
_cell_length_b 7.143
_cell_length_c 7.143
_cell_angle_alpha 90.00
_cell_angle_beta 90.00
_cell_angle_gamma 90.00
_symmetry_space_group_name_H-M 'F -4 3 m'
_symmetry_Int_Tables_number 216
_symmetry_space_group_name_Hall 'F -4 2 3'
loop_
_atom_site_label
_atom_site_type_symbol
_atom_site_fract_x
_atom_site_fract_y
_atom_site_fract_z
_atom_site_occupancy
Ce1 Ce 0.000 0.000 0.000 1
Lu1 Lu 0.000 0.000 0.500 1
Pd1 Pd 0.250 0.250 0.250 1
Au1 Au 0.250 0.250 0.750 1


# 20
# CaThNi, relaxed, DFT PBE-GGA
# polymorph energy (0 for the lowest one): 4 meV/atom
# E: -0.379 Ry per atom
# formation energy from the elements: -0.0861 eV/atom
# magnetization: 0.00 μB per cell
# crystal system: tetragonal
data_CaThNi
_chemical_formula_sum 'Ca2 Th2 Ni2'
_cell_length_a 3.490
_cell_length_b 3.490
_cell_length_c 13.269
_cell_angle_alpha 90.00
_cell_angle_beta 90.00
_cell_angle_gamma 90.00
_symmetry_space_group_name_H-M 'I 4 m m'
_symmetry_Int_Tables_number 107
_symmetry_space_group_name_Hall 'I 4 -2'
loop_
_atom_site_label
_atom_site_type_symbol
_atom_site_fract_x
_atom_site_fract_y
_atom_site_fract_z
_atom_site_occupancy
Ca1 Ca 0.000 0.000 0.000 1
Th1 Th 0.000 0.000 0.259 1
Ni1 Ni 0.000 0.000 0.654 1


Number 1: calculated density 9771 kg/m³. Number 2: calculated density 3979 kg/m³. Number 3: calculated density 7393 kg/m³. Number 4: calculated density 8159 kg/m³. Number 5: calculated density 9408 kg/m³. Number 6: calculated density 7349 kg/m³. Number 7: calculated density 3838 kg/m³. Number 8: calculated density 7510 kg/m³. Number 9: calculated density 8913 kg/m³. Number 10: calculated density 8442 kg/m³. Number 11: calculated density 6945 kg/m³. Number 12: calculated density 6946 kg/m³. Number 13: calculated density 6905 kg/m³. Number 14: calculated density 10723 kg/m³. Number 15: calculated density 16206 kg/m³. Number 16: calculated density 9876 kg/m³. Number 17: calculated density 18130 kg/m³. Number 18: calculated density 7297 kg/m³. Number 19: calculated density 11270 kg/m³. Number 20: calculated density 6796 kg/m³.